Entry 1:
Material: BeCr2Pt
Method: DFT, PBE
State: relaxed

abc: 2.590 3.841 4.881
angles: 90.00 96.97 90.00
Element x y z (fractional)
Be: 0.000 0.000 0.000
Cr: 0.427 0.000 0.449
Cr: 0.612 0.500 0.206
Pt: 0.008 0.500 0.734

Computed properties:
* symmetry: No. 6
* total magnetization: 0.00 μB/f.u.

---

Entry 2:
Material: Nd4TlHg5
Method: DFT, PBE
State: relaxed

abc: 3.893 3.893 18.420
angles: 90.00 90.00 90.00
Element x y z (fractional)
Nd: 0.000 0.000 0.102
Nd: 0.000 0.000 0.307
Nd: 0.000 0.000 0.693
Nd: 0.000 0.000 0.898
Tl: 0.000 0.000 0.500
Hg: 0.500 0.500 0.000
Hg: 0.500 0.500 0.203
Hg: 0.500 0.500 0.402
Hg: 0.500 0.500 0.598
Hg: 0.500 0.500 0.797

Computed properties:
* symmetry: No. 123
* total magnetization: 1.12 μB/f.u.

---

Entry 3:
Material: SmDyIr
Method: DFT, PBE
State: relaxed

abc: 4.853 4.853 4.853
angles: 60.00 60.00 60.00
Element x y z (fractional)
Sm: 0.000 0.000 0.000
Dy: 0.500 0.500 0.500
Ir: 0.250 0.250 0.250

Computed properties:
* energy relative to the lowest polymorph listed for this composition: 0.000 eV per formula unit
* symmetry: No. 216
* total magnetization: 0.00 μB/f.u.

---

Entry 4:
Material: Li2H6Pd3Rh
Method: DFT, PBE
State: relaxed

abc: 3.037 3.037 11.474
angles: 90.00 90.00 90.00
Element x y z (fractional)
Li: 0.000 0.000 0.149
Li: 0.000 0.000 0.851
H: 0.000 0.500 0.404
H: 0.000 0.500 0.596
H: 0.500 0.000 0.404
H: 0.500 0.000 0.596
H: 0.500 0.500 0.151
H: 0.500 0.500 0.849
Pd: 0.500 0.500 0.000
Pd: 0.500 0.500 0.307
Pd: 0.500 0.500 0.693
Rh: 0.000 0.000 0.500

Computed properties:
* symmetry: No. 123
* total magnetization: 0.00 μB/f.u.

---

no.,final energy (eV/cell)
1,-29.48
2,-26.96
3,-20.09
4,-49.51